one.
This record from the Alexandria database describes a relaxed LaMoOs2 crystal. The functional is PBE.

Computed properties:
- Total moment: 0.0 Bohr magnetons per cell
- V: 73.2 Å³/cell

abc: 2.8402 2.8402 9.0737
angles: 90.00 90.00 90.00
Fractional coordinates of all 4 atoms:
La 0.0000 0.0000 0.4877
Mo 0.5000 0.5000 0.7891
Os 0.0000 0.0000 0.0204
Os 0.5000 0.5000 0.2029


two.
This record from the Alexandria database describes a relaxed LaMoOs2 crystal. The functional is PBE.

Computed properties:
- Total moment: 0.1 Bohr magnetons per cell
- V: 70.3 Å³/cell

abc: 9.9995 9.9995 9.9995
angles: 16.50 16.50 16.50
Fractional coordinates of all 4 atoms:
Os 0.0108 0.0108 0.0108
Os 0.4892 0.4892 0.4892
La 0.2500 0.2500 0.2500
Mo 0.7500 0.7500 0.7500


Order from most stable to least stable according to the calculation: one, two